1.
A relaxed structure of LaEuMgZn, computed with PBE.

The structure in extended XYZ format:
```
4
Lattice="-3.7345 2.1046 -3.3945 -5.3212 -0.8642 0.9145 -3.1926 4.1168 1.6608" Properties=species:S:1:pos:R:3 pbc="T T T"
Eu -9.1862 4.0179 -0.6143
Zn 0.0000 0.0000 0.0000
Mg -6.1242 2.6786 -0.4096
La -3.0621 1.3393 -0.2048
```

Results
Electronic total energy   -18.7 eV for the cell shown
Total moment   7.233 μB/cell
E_form   -155 meV/atom

=====

2.
A relaxed structure of BaZr2Ir2, computed with PBE.

The structure in extended XYZ format:
```
5
Lattice="-0.9400 -3.3601 3.0328 4.3730 -1.4735 -0.2772 3.1524 1.0401 5.6528" Properties=species:S:1:pos:R:3 pbc="T T T"
Ir 2.0648 -1.5783 2.4148
Ir 4.5206 -2.2153 5.9935
Ba 0.0000 0.0000 0.0000
Zr 1.9645 -2.3684 5.0316
Zr 4.6209 -1.4251 3.3767
```

Results
Excess energy over the best structure of this formula in the dataset   0.0 meV per atom
Electronic total energy   -39.6 eV for the cell shown
Total moment   0.000 μB/cell
E_form   -575 meV/atom

=====

3.
A relaxed structure of LaMg2W, computed with PBE.

The structure in extended XYZ format:
```
4
Lattice="2.7713 2.2988 3.5085 -2.0091 1.0828 4.4793 1.4726 -2.5228 4.0915" Properties=species:S:1:pos:R:3 pbc="T T T"
Mg 0.5587 0.2147 3.0198
Mg 1.6761 0.6441 9.0595
W 1.1174 0.4294 6.0396
La 0.0000 0.0000 0.0000
```

Results
Excess energy over the best structure of this formula in the dataset   214.7 meV per atom
Electronic total energy   -18.7 eV for the cell shown
Total moment   1.212 μB/cell
E_form   605 meV/atom

=====

4.
A relaxed structure of LiAgRh2, computed with PBE.

The structure in extended XYZ format:
```
4
Lattice="4.6376 -0.0126 0.0000 1.2106 4.4769 0.0000 -2.9241 -2.2321 2.8240" Properties=species:S:1:pos:R:3 pbc="T T T"
Ag 2.9241 2.2321 0.0000
Li 2.3188 -0.0063 1.4120
Rh 0.0000 0.0000 0.0000
Rh 0.6053 2.2384 1.4120
```

Results
Excess energy over the best structure of this formula in the dataset   86.6 meV per atom
Electronic total energy   -19.1 eV for the cell shown
Total moment   1.057 μB/cell
E_form   83 meV/atom

=====

5.
A relaxed structure of Rb2SrCaC, computed with PBE.

The structure in extended XYZ format:
```
5
Lattice="-6.1150 -1.1105 -3.1421 -2.0882 -0.6381 4.2895 -1.4062 6.8128 0.3288" Properties=species:S:1:pos:R:3 pbc="T T T"
Sr -4.8047 2.5321 0.7382
Ca -1.0441 -0.3190 2.1448
C 0.0000 0.0000 0.0000
Rb -0.7031 3.4064 0.1644
Rb -3.0575 -0.5553 -1.5710
```

Results
Electronic total energy   -10.7 eV for the cell shown
Total moment   0.000 μB/cell
E_form   835 meV/atom

=====

6.
A relaxed structure of ZrH2Cl2F2, computed with PBE.

The structure in extended XYZ format:
```
7
Lattice="3.7788 0.0000 0.0000 1.8894 6.0918 -0.8178 1.8894 0.7013 6.3254" Properties=species:S:1:pos:R:3 pbc="T T T"
Zr 0.0000 0.0000 0.0000
H 1.8894 3.1527 2.4684
H 5.6681 3.6405 3.0391
Cl 3.7788 1.5103 4.7893
Cl 3.7788 5.2828 0.7182
F 3.7788 5.0646 4.5899
F 3.7788 1.7285 0.9176
```

Results
Electronic total energy   -35.5 eV for the cell shown
Total moment   0.000 μB/cell